# 1
DFT (PBE-GGA) results for a geometry-optimized KMgCrAs structure.

Computed properties:
Theoretical density: 2.70 g/cm³
DOS at the Fermi energy: 3.899 states/eV/cell
Energy of formation from the pure elements: 72.3 meV per atom
Total DFT energy (no corrections): -4.169 eV/atom
Magnetization: 3.71 μB/f.u.
E above lowest polymorph: 40.8 meV/atom

Lattice parameters (Å, degrees): 4.0264 4.3743 13.3134 90.00 90.00 90.00
Space group Amm2 (No. 38)
One atom of each set of equivalent atoms:
K 0.0000 0.0000 0.0000 x2
Mg 0.5000 0.0000 0.7398 x2
Cr 0.0000 0.0000 0.2651 x2
As 0.5000 0.0000 0.3682 x2


# 2
DFT (PBE-GGA) results for a geometry-optimized Dy3HoSc8 structure.

Computed properties:
Theoretical density: 4.89 g/cm³
DOS at the Fermi energy: 50.109 states/eV/cell
Energy of formation from the pure elements: 291.9 meV per atom
Total DFT energy (no corrections): -5.461 eV/atom
Magnetization: 0.00 μB/f.u.

Lattice parameters (Å, degrees): 5.9203 10.6054 10.9525 90.00 90.00 90.00
Space group Immm (No. 71)
One atom of each set of equivalent atoms:
Dy 0.0000 0.0000 0.0000 x2
Dy 0.0000 0.2494 0.5000 x4
Ho 0.0000 0.5000 0.0000 x2
Sc 0.0000 0.2501 0.1757 x8
Sc 0.2497 0.0000 0.2504 x8


# 3
DFT (PBE-GGA) results for a geometry-optimized LiTb3Au2 structure.

Computed properties:
Theoretical density: 10.17 g/cm³
DOS at the Fermi energy: 9.288 states/eV/cell
Energy of formation from the pure elements: -568.4 meV per atom
Total DFT energy (no corrections): -4.295 eV/atom
Magnetization: 0.00 μB/f.u.

Lattice parameters (Å, degrees): 5.0928 5.0928 12.7612 90.00 90.00 120.00
Space group P-3m1 (No. 164)
One atom of each set of equivalent atoms:
Li 0.3333 0.6667 0.1753 x2
Tb 0.0000 0.0000 0.2569 x2
Tb 0.3333 0.6667 0.4229 x2
Tb 0.3333 0.6667 0.9210 x2
Au 0.0000 0.0000 0.0000 x1
Au 0.0000 0.0000 0.5000 x1
Au 0.3333 0.6667 0.6914 x2


# 4
DFT (PBE-GGA) results for a geometry-optimized LiLa2Hg structure.

Computed properties:
Theoretical density: 6.69 g/cm³
DOS at the Fermi energy: 7.628 states/eV/cell
Energy of formation from the pure elements: -91.8 meV per atom
Total DFT energy (no corrections): -3.109 eV/atom
Magnetization: 0.00 μB/f.u.

Lattice parameters (Å, degrees): 11.1379 3.6943 5.9940 90.00 102.37 90.00
Space group C2/m (No. 12)
One atom of each set of equivalent atoms:
Li 0.0000 0.0000 0.0000 x2
La 0.2414 0.0000 0.7271 x4
Hg 0.0000 0.5000 0.5000 x2